[1]
VASP calculation (SCAN) on a PBEsol-optimized structure of CsZr2ReSb.

Cell: 5.111 5.111 5.440 Å, 90.00 90.00 90.00°
Space group P4/mmm (No. 123)
Asymmetric unit:
Cs1 0.000 0.000 0.000 [1 per cell]
Zr1 0.000 0.500 0.500 [2 per cell]
Re1 0.000 0.000 0.500 [1 per cell]
Sb1 0.500 0.500 0.000 [1 per cell]

Output
uncorrected formation energy: 4.62 eV/f.u.

---

[2]
VASP calculation (SCAN) on a PBEsol-optimized structure of SnS2O.

Cell: 3.0106 3.0106 24.9635 Å, 90.00 90.00 120.00°
Space group R-3m (No. 166, hexagonal axes)
Asymmetric unit:
Sn1 0.0000 0.0000 0.0000 [3 per cell]
S1 0.0000 0.0000 0.1060 [6 per cell]
O1 0.0000 0.0000 0.5000 [3 per cell]

Output
uncorrected formation energy: 3.72 eV/f.u.
energy above the most stable polymorph in this dataset: 0.430 eV per atom

---

[3]
VASP calculation (SCAN) on a PBEsol-optimized structure of TbGe2Ir.

Cell: 4.247 8.811 15.916 Å, 90.00 90.00 90.00°
Space group Immm (No. 71)
Asymmetric unit:
Tb1 0.000 0.000 0.206 [4 per cell]
Tb2 0.000 0.238 0.000 [4 per cell]
Ge1 0.000 0.000 0.422 [4 per cell]
Ge2 0.000 0.347 0.200 [8 per cell]
Ge3 0.000 0.500 0.423 [4 per cell]
Ir1 0.000 0.249 0.355 [8 per cell]

Output
formation energy: -0.973 eV per atom

---

[4]
VASP calculation (SCAN) on a PBEsol-optimized structure of TlBiSb2.

Cell: 6.819 6.819 13.908 Å, 90.00 90.00 90.00°
Space group I-42d (No. 122)
Asymmetric unit:
Tl1 0.000 0.000 0.000 [4 per cell]
Bi1 0.000 0.000 0.500 [4 per cell]
Sb1 0.233 0.250 0.125 [8 per cell]

Output
uncorrected formation energy: 0.95 eV/f.u.
energy above the most stable polymorph in this dataset: 0.022 eV per atom

---

no.,electronic total energy (eV/cell),ρ (g/cm³),density of states at the Fermi level (states/eV per cell)
1,-202.94,7.28,3.89
2,-173.07,5.05,8.57
3,-1279.42,11.07,10.33
4,-898.02,6.75,9.63